# 1
DFT (PBE) results for a relaxed K2MgSe crystal.

Properties
**Distance to the lowest polymorph of the same formula**: 394 meV per atom
**ΔE_f (raw)**: -0.231 eV/atom

The structure in POSCAR format:
```
K2MgSe
1.0
-3.260 3.260 9.820
3.260 -3.260 9.820
3.260 3.260 -9.820
K Mg Se
4 2 2
Cartesian
4.889 1.069 -2.455 K
1.069 1.630 2.455 K
-1.630 2.190 7.365 K
2.190 1.630 12.276 K
3.260 0.000 4.910 Mg
0.000 0.000 9.820 Mg
0.000 0.000 0.000 Se
0.000 3.260 4.910 Se
```

***

# 2
DFT (PBE) results for a relaxed La2ReAg crystal.

Properties
**Formation enthalpy at 0 K**: 0.67 eV per atom
**Distance to the lowest polymorph of the same formula**: 617 meV per atom

The structure in POSCAR format:
```
La2ReAg
1.0
1.715 0.990 9.811
-1.715 0.990 9.811
0.000 -1.980 9.811
La Re Ag
2 1 1
Cartesian
0.000 0.000 0.000 La
0.000 0.000 6.650 La
0.000 0.000 14.431 Re
0.000 0.000 22.187 Ag
```

***

# 3
DFT (PBE) results for a relaxed Ca2LaCo crystal.

Properties
**Formation enthalpy at 0 K**: 0.53 eV per atom
**Distance to the lowest polymorph of the same formula**: 492 meV per atom

The structure in POSCAR format:
```
Ca2LaCo
1.0
0.000 3.770 3.770
3.770 0.000 3.770
3.770 3.770 0.000
Ca La Co
2 1 1
Cartesian
1.885 1.885 1.885 Ca
5.656 5.656 5.656 Ca
0.000 0.000 0.000 La
3.770 3.770 3.770 Co
```

***

# 4
DFT (PBE) results for a relaxed CoTcIr2 crystal.

Properties
**Formation enthalpy at 0 K**: -0.01 eV per atom
**Distance to the lowest polymorph of the same formula**: 81 meV per atom

The structure in POSCAR format:
```
CoTcIr2
1.0
2.702 0.000 0.000
0.000 2.702 0.000
0.000 0.000 7.461
Co Tc Ir
1 1 2
Cartesian
0.000 0.000 0.000 Co
1.351 1.351 5.690 Tc
0.000 0.000 3.753 Ir
1.351 1.351 1.764 Ir
```

***

# 5
DFT (PBE) results for a relaxed Ga2Tc2Pt crystal.

Properties
**Formation enthalpy at 0 K**: -0.01 eV per atom
**Distance to the lowest polymorph of the same formula**: 0 meV per atom

The structure in POSCAR format:
```
Ga2Tc2Pt
1.0
6.607 0.000 0.000
0.000 6.607 0.000
0.000 0.000 3.437
Ga Tc Pt
4 4 2
Cartesian
0.885 2.419 0.000 Ga
2.419 5.722 0.000 Ga
4.189 0.885 0.000 Ga
5.722 4.189 0.000 Ga
1.111 4.415 1.719 Tc
2.193 1.111 1.719 Tc
4.415 5.496 1.719 Tc
5.496 2.193 1.719 Tc
0.000 0.000 0.000 Pt
3.304 3.304 0.000 Pt
```

***

# 6
DFT (PBE) results for a relaxed K3ZnAu crystal.

Properties
**Formation enthalpy at 0 K**: 0.06 eV per atom
**Distance to the lowest polymorph of the same formula**: 192 meV per atom

The structure in POSCAR format:
```
K3ZnAu
1.0
6.356 0.000 0.000
0.000 6.356 0.000
0.000 0.000 6.356
K Zn Au
3 1 1
Cartesian
0.000 0.000 3.178 K
0.000 3.178 0.000 K
3.178 0.000 0.000 K
3.178 3.178 3.178 Zn
0.000 0.000 0.000 Au
```

***

# 7
DFT (PBE) results for a relaxed Ac6Tl5 crystal.

Properties
**Formation enthalpy at 0 K**: -0.21 eV per atom
**Distance to the lowest polymorph of the same formula**: 73 meV per atom

The structure in POSCAR format:
```
Ac6Tl5
1.0
4.652 -6.303 0.000
4.652 6.303 0.000
-1.821 0.000 7.204
Ac Tl
6 5
Cartesian
0.628 1.948 5.026 Ac
1.468 0.000 1.400 Ac
0.628 -1.948 5.026 Ac
6.856 1.948 2.178 Ac
6.016 0.000 5.804 Ac
6.856 -1.948 2.178 Ac
4.652 3.362 0.000 Tl
3.742 1.555 3.602 Tl
4.652 0.000 0.000 Tl
3.742 -1.555 3.602 Tl
4.652 -3.362 0.000 Tl
```

***

# 8
DFT (PBE) results for a relaxed Li2MgTl2Cd2 crystal.

Properties
**Formation enthalpy at 0 K**: -0.09 eV per atom

The structure in POSCAR format:
```
Li2MgTl2Cd2
1.0
2.512 1.450 7.293
-2.512 1.450 7.293
0.000 -2.900 7.293
Li Mg Tl Cd
2 1 2 2
Cartesian
0.000 0.000 3.029 Li
0.000 0.000 18.850 Li
0.000 0.000 0.000 Mg
0.000 0.000 9.324 Tl
0.000 0.000 12.555 Tl
0.000 0.000 6.010 Cd
0.000 0.000 15.869 Cd
```

***

# 9
DFT (PBE) results for a relaxed Ba2SiTcB crystal.

Properties
**ΔE_f (raw)**: 0.729 eV/atom

The structure in POSCAR format:
```
Ba2SiTcB
1.0
6.140 0.000 0.000
0.000 6.140 0.000
0.000 0.000 3.701
Ba Si Tc B
2 1 1 1
Cartesian
0.000 3.070 0.000 Ba
3.070 0.000 0.000 Ba
0.000 0.000 1.851 Si
3.070 3.070 1.851 Tc
0.000 0.000 0.000 B
```

***

# 10
DFT (PBE) results for a relaxed TiVN2 crystal.

Properties
**ΔE_f (raw)**: -1.314 eV/atom

The structure in POSCAR format:
```
TiVN2
1.0
1.438 0.830 5.145
-1.438 0.830 5.145
0.000 -1.661 5.145
Ti V N
1 1 2
Cartesian
0.000 0.000 0.000 Ti
0.000 0.000 12.781 V
0.000 0.000 6.417 N
0.000 0.000 8.958 N
```

***

# 11
DFT (PBE) results for a relaxed SiSb crystal.

Properties
**ΔE_f (raw)**: 0.530 eV/atom

The structure in POSCAR format:
```
SiSb
1.0
7.592 0.000 0.000
0.000 7.592 0.000
0.000 0.000 7.592
Si Sb
6 6
Cartesian
0.000 1.898 3.796 Si
0.000 5.694 3.796 Si
1.898 3.796 0.000 Si
3.796 0.000 1.898 Si
3.796 0.000 5.694 Si
5.694 3.796 0.000 Si
0.000 3.796 1.898 Sb
0.000 3.796 5.694 Sb
1.898 0.000 3.796 Sb
3.796 1.898 0.000 Sb
3.796 5.694 0.000 Sb
5.694 0.000 3.796 Sb
```

***

# 12
DFT (PBE) results for a relaxed RbSiB crystal.

Properties
**ΔE_f (raw)**: 0.341 eV/atom

The structure in POSCAR format:
```
RbSiB
1.0
-5.365 5.365 3.480
5.365 -5.365 3.480
5.365 5.365 -3.480
Rb Si B
4 4 4
Cartesian
3.087 0.000 0.000 Rb
7.644 0.000 0.000 Rb
0.000 3.087 0.000 Rb
0.000 7.644 0.000 Rb
5.365 2.741 0.000 Si
2.741 5.365 0.000 Si
2.625 0.000 3.480 Si
0.000 2.625 3.480 Si
4.498 4.498 0.000 B
0.867 -0.867 3.480 B
-0.867 0.867 3.480 B
0.867 0.867 3.480 B
```

***

# 13
DFT (PBE) results for a relaxed NaSrTa3 crystal.

Properties
**Formation enthalpy at 0 K**: 2.26 eV per atom
**Distance to the lowest polymorph of the same formula**: 0 meV per atom

The structure in POSCAR format:
```
NaSrTa3
1.0
4.947 0.000 0.000
0.000 4.947 0.000
0.000 0.000 4.947
Na Sr Ta
1 1 3
Cartesian
0.000 0.000 0.000 Na
2.474 2.474 2.474 Sr
0.000 0.000 2.474 Ta
0.000 2.474 0.000 Ta
2.474 0.000 0.000 Ta
```

***

# 14
DFT (PBE) results for a relaxed RuF crystal.

Properties
**Distance to the lowest polymorph of the same formula**: 1179 meV per atom
**ΔE_f (raw)**: 0.494 eV/atom

The structure in POSCAR format:
```
RuF
1.0
0.000 2.444 2.444
2.444 0.000 2.444
2.444 2.444 0.000
Ru F
1 1
Cartesian
0.000 0.000 0.000 Ru
2.444 2.444 2.444 F
```

***

# 15
DFT (PBE) results for a relaxed CoPRh crystal.

Properties
**Formation enthalpy at 0 K**: -0.61 eV per atom

The structure in POSCAR format:
```
CoPRh
1.0
0.000 2.687 2.687
2.687 0.000 2.687
2.687 2.687 0.000
Co P Rh
1 1 1
Cartesian
0.000 0.000 0.000 Co
4.031 4.031 4.031 P
2.687 2.687 2.687 Rh
```

***

# 16
DFT (PBE) results for a relaxed CaPmHoLu crystal.

Properties
**Formation enthalpy at 0 K**: 0.14 eV per atom

The structure in POSCAR format:
```
CaPmHoLu
1.0
0.000 4.053 4.053
4.053 0.000 4.053
4.053 4.053 0.000
Ca Pm Ho Lu
1 1 1 1
Cartesian
0.000 0.000 0.000 Ca
6.080 6.080 6.080 Pm
2.027 2.027 2.027 Ho
4.053 4.053 4.053 Lu
```

***

# 17
DFT (PBE) results for a relaxed Pm8Te4RhSe3 crystal.

Properties
**ΔE_f (raw)**: -1.499 eV/atom

The structure in POSCAR format:
```
Pm8Te4RhSe3
1.0
4.315 2.491 7.191
-4.315 2.491 7.191
0.000 -4.983 7.191
Pm Te Rh Se
8 4 1 3
Cartesian
0.000 0.000 5.202 Pm
-2.065 -1.192 12.355 Pm
0.000 -2.384 9.217 Pm
-2.065 1.192 9.217 Pm
2.065 -1.192 12.355 Pm
0.000 2.384 12.355 Pm
2.065 1.192 9.217 Pm
0.000 0.000 16.370 Pm
0.000 0.000 0.000 Te
-2.158 -1.246 7.191 Te
-2.158 1.246 14.381 Te
0.000 2.491 7.191 Te
0.000 0.000 10.786 Rh
-4.315 0.000 10.786 Se
-2.158 1.246 3.595 Se
2.158 1.246 3.595 Se
```

***

# 18
DFT (PBE) results for a relaxed NiRuBr crystal.

Properties
**Distance to the lowest polymorph of the same formula**: 170 meV per atom
**ΔE_f (raw)**: 0.832 eV/atom

The structure in POSCAR format:
```
NiRuBr
1.0
0.000 2.586 6.327
1.494 0.000 6.327
1.494 2.586 0.000
Ni Ru Br
1 1 1
Cartesian
0.000 0.000 0.000 Ni
1.494 2.586 4.422 Ru
1.494 2.586 8.403 Br
```

***

# 19
DFT (PBE) results for a relaxed YMoBr crystal.

Properties
**Distance to the lowest polymorph of the same formula**: 144 meV per atom
**ΔE_f (raw)**: 0.333 eV/atom

The structure in POSCAR format:
```
YMoBr
1.0
4.721 0.000 0.000
-2.360 4.088 0.000
0.000 0.000 3.250
Y Mo Br
1 1 1
Cartesian
0.000 0.000 0.000 Y
0.000 2.725 1.625 Mo
2.360 1.363 1.625 Br
```

***

# 20
DFT (PBE) results for a relaxed Ac6CuPd5 crystal.

Properties
**Formation enthalpy at 0 K**: -0.66 eV per atom

The structure in POSCAR format:
```
Ac6CuPd5
1.0
3.833 -6.626 0.000
3.833 6.626 0.000
-2.545 0.000 7.252
Ac Cu Pd
6 1 5
Cartesian
-0.009 2.237 5.415 Ac
1.246 0.000 1.819 Ac
-0.009 -2.237 5.415 Ac
5.131 2.237 1.836 Ac
3.876 0.000 5.432 Ac
5.131 -2.237 1.836 Ac
3.833 0.000 0.000 Cu
-1.272 0.000 3.626 Pd
3.833 4.411 0.000 Pd
2.561 2.183 3.626 Pd
2.561 -2.183 3.626 Pd
3.833 -4.411 0.000 Pd
```

***

Number 1: DOS at the Fermi energy 0.0 states/eV per cell. Number 2: DOS at the Fermi energy 2.8 states/eV per cell. Number 3: DOS at the Fermi energy 4.9 states/eV per cell. Number 4: DOS at the Fermi energy 4.1 states/eV per cell. Number 5: DOS at the Fermi energy 12.9 states/eV per cell. Number 6: DOS at the Fermi energy 6.0 states/eV per cell. Number 7: DOS at the Fermi energy 11.1 states/eV per cell. Number 8: DOS at the Fermi energy 1.9 states/eV per cell. Number 9: DOS at the Fermi energy 4.9 states/eV per cell. Number 10: DOS at the Fermi energy 2.9 states/eV per cell. Number 11: DOS at the Fermi energy 12.0 states/eV per cell. Number 12: DOS at the Fermi energy 3.7 states/eV per cell. Number 13: DOS at the Fermi energy 10.1 states/eV per cell. Number 14: DOS at the Fermi energy 2.4 states/eV per cell. Number 15: DOS at the Fermi energy 1.4 states/eV per cell. Number 16: DOS at the Fermi energy 6.6 states/eV per cell. Number 17: DOS at the Fermi energy 9.9 states/eV per cell. Number 18: DOS at the Fermi energy 3.3 states/eV per cell. Number 19: DOS at the Fermi energy 4.2 states/eV per cell. Number 20: DOS at the Fermi energy 5.9 states/eV per cell.